Density functional theory data (PBE-GGA) for crystalline BaCr2Re at its relaxed geometry.

As for the crystal system: cubic. As for the formation energy from the elements: 1.37 eV per atom. The value obtained for the density of states at the Fermi level is 4.46 states/eV/f.u. The value obtained for the excess energy over the best structure of this formula in the dataset is 2.72 eV/f.u.

Unit cell a=4.7954 b=4.7954 c=4.7954 alpha=60.00 beta=60.00 gamma=60.00
Closest atoms and distances in Å follow each position.
Fractional positions:
Ba: 0.0000 0.0000 0.0000  4 Cr 2.94, 4 Re 2.94
Cr: 0.5000 0.5000 0.5000  4 Cr 2.94, 4 Re 2.94
Cr: 0.7500 0.7500 0.7500  4 Cr 2.94, 4 Ba 2.94
Re: 0.2500 0.2500 0.2500  4 Ba 2.94, 4 Cr 2.94

Density functional theory data (PBE-GGA) for crystalline Tm2BSe at its relaxed geometry.

As for the crystal system: trigonal. The value obtained for the density of states at the Fermi level is 1.68 states/eV/f.u.

Unit cell a=7.0808 b=7.0808 c=7.0808 alpha=30.78 beta=30.78 gamma=30.78
Closest atoms and distances in Å follow each position.
Fractional positions:
Tm: 0.2397 0.2397 0.2397  3 B 2.62, 3 Se 2.88
Tm: 0.7603 0.7603 0.7603  3 B 2.62, 3 Se 2.88
B: 0.5000 0.5000 0.5000  6 Tm 2.62
Se: 0.0000 0.0000 0.0000  6 Tm 2.88

no.,raw total energy (eV/atom)
1,-7.0339
2,-5.7209